Entry 1:
Entry from Alexandria via LeMat-Bulk: a geometry-optimized GeRuIO2 structure (GGA-PBE).

## Properties
ΔE_f (raw) = 0.007 eV per atom
Volume = 97.02 Å³/cell
Magnetic moment = 0.24 μB per atom

Cell: 3.899 3.899 6.381 Å, 90.00 90.00 90.00°
Space group P4/mmm (No. 123)
Unique sites:
Ge (0.000, 0.000, 0.000)
Ru (0.500, 0.500, 0.500)
I (0.500, 0.500, 0.000)
O (0.000, 0.500, 0.500)


Entry 2:
Entry from Alexandria via LeMat-Bulk: a geometry-optimized Zr2CrBr structure (GGA-PBE).

## Properties
ΔE_f (raw) = 0.096 eV per atom
Volume = 91.97 Å³/cell
Magnetic moment = 0.99 μB per atom

Cell: 3.278 3.278 8.557 Å, 90.00 90.00 90.00°
Space group P4mm (No. 99)
Unique sites:
Zr (0.000, 0.000, 0.000)
Zr (0.500, 0.500, 0.259)
Cr (0.500, 0.500, 0.798)
Br (0.000, 0.000, 0.476)


Entry 3:
Entry from Alexandria via LeMat-Bulk: a geometry-optimized KIn4As structure (GGA-PBE).

## Properties
Formation enthalpy at 0 K = 0.114 eV per atom
Volume = 703.17 Å³/cell
Magnetic moment = 0.00 μB per atom

Cell: 8.892 8.892 8.892 Å, 90.00 90.00 90.00°
Space group F-43m (No. 216)
Unique sites:
K (0.000, 0.000, 0.000)
In (0.124, 0.124, 0.376)
As (0.250, 0.250, 0.750)


Entry 4:
Entry from Alexandria via LeMat-Bulk: a geometry-optimized YSiAg2 structure (GGA-PBE).

## Properties
ΔE_f (raw) = -0.255 eV per atom
Volume = 162.79 Å³/cell
Magnetic moment = 0.00 μB per atom

Cell: 7.883 4.531 5.251 Å, 90.00 119.76 90.00°
Space group Cm (No. 8)
Unique sites:
Y (0.000, 0.000, 0.000)
Si (0.222, 0.000, 0.663)
Ag (0.039, 0.500, 0.614)
Ag (0.277, 0.500, 0.331)


Entry 5:
Entry from Alexandria via LeMat-Bulk: a geometry-optimized Tb5PrTm structure (GGA-PBE).

## Properties
Formation enthalpy at 0 K = 1.068 eV per atom
Volume = 598.77 Å³/cell
Magnetic moment = 0.00 μB per atom

Cell: 5.788 8.647 11.963 Å, 90.00 90.00 90.00°
Space group Immm (No. 71)
Unique sites:
Tb (0.000, 0.000, 0.000)
Tb (0.000, 0.176, 0.500)
Tb (0.000, 0.500, 0.254)
Pr (0.000, 0.500, 0.500)
Tm (0.000, 0.500, 0.000)


The N(E_F) results, record by record, are as follows: 4.2 4.0 13.1 4.5 17.2 states/eV/cell.